The following is a PBE calculation of a relaxed TiHgO2F crystal, from the Alexandria database.

a b c (Å): 4.218 4.218 4.442
angles (deg): 90.00 90.00 90.00
Sites, in units of the cell vectors:
F: 0.000 0.000 0.500
Hg: 0.000 0.000 0.000
O: 0.000 0.500 0.000
O: 0.500 0.000 0.000
Ti: 0.500 0.500 0.500

Summary:
E_form (uncorrected) ... -0.242 eV per atom
Space-group type ... P4/mmm
Calculated volume ... 79.0 Å³/cell
Crystal system ... tetragonal

The following is a PBE calculation of a relaxed TlHgOF2 crystal, from the Alexandria database.

a b c (Å): 4.539 4.539 4.237
angles (deg): 90.00 90.00 90.00
Sites, in units of the cell vectors:
Tl: 0.000 0.000 0.000
Hg: 0.500 0.500 0.500
O: 0.000 0.000 0.500
F: 0.000 0.500 0.000
F: 0.500 0.000 0.000

Summary:
E_form (uncorrected) ... -0.907 eV per atom
Space-group type ... P4/mmm
Excess energy over the best structure of this formula in the dataset ... 36 meV/atom
Calculated volume ... 87.3 Å³/cell
Crystal system ... tetragonal

The following is a PBE calculation of a relaxed TlHgO2F crystal, from the Alexandria database.

a b c (Å): 4.300 4.300 4.427
angles (deg): 90.00 90.00 90.00
Sites, in units of the cell vectors:
Tl: 0.000 0.000 0.000
Hg: 0.500 0.500 0.500
O: 0.000 0.500 0.000
O: 0.500 0.000 0.000
F: 0.000 0.000 0.500

Summary:
E_form (uncorrected) ... -0.378 eV per atom
Space-group type ... P4/mmm
Calculated volume ... 81.8 Å³/cell
Crystal system ... tetragonal

The following is a PBE calculation of a relaxed TlHgOF2 crystal, from the Alexandria database.

a b c (Å): 4.695 4.695 4.163
angles (deg): 90.00 90.00 90.00
Sites, in units of the cell vectors:
Tl: 0.500 0.500 0.500
Hg: 0.000 0.000 0.000
O: 0.000 0.000 0.500
F: 0.000 0.500 0.000
F: 0.500 0.000 0.000

Summary:
E_form (uncorrected) ... -0.943 eV per atom
Space-group type ... P4/mmm
Excess energy over the best structure of this formula in the dataset ... 0 meV/atom
Calculated volume ... 91.7 Å³/cell
Crystal system ... tetragonal

The following is a PBE calculation of a relaxed TlHgO2F crystal, from the Alexandria database.

a b c (Å): 3.999 6.188 8.080
angles (deg): 107.38 90.00 90.00
Sites, in units of the cell vectors:
Tl: 0.250 0.289 0.068
Tl: 0.750 0.711 0.932
Hg: 0.250 0.341 0.591
Hg: 0.750 0.659 0.409
O: 0.750 0.618 0.654
O: 0.250 0.382 0.346
O: 0.750 0.558 0.139
O: 0.250 0.442 0.861
F: 0.250 0.909 0.068
F: 0.750 0.091 0.932

Summary:
E_form (uncorrected) ... -0.716 eV per atom
Space-group type ... P2_1/m
Calculated volume ... 190.8 Å³/cell
Crystal system ... monoclinic

The following is a PBE calculation of a relaxed Tl3HgOF crystal, from the Alexandria database.

a b c (Å): 3.839 8.669 11.218
angles (deg): 116.93 90.00 90.00
Sites, in units of the cell vectors:
Tl: 0.250 0.807 0.453
Tl: 0.750 0.932 0.170
Tl: 0.750 0.525 0.172
Tl: 0.750 0.193 0.547
Tl: 0.250 0.475 0.828
Tl: 0.250 0.068 0.830
Hg: 0.750 0.682 0.660
Hg: 0.250 0.318 0.340
O: 0.250 0.097 0.636
O: 0.750 0.903 0.364
F: 0.250 0.665 0.092
F: 0.750 0.335 0.908

Summary:
E_form (uncorrected) ... -0.843 eV per atom
Space-group type ... P2_1/m
Calculated volume ... 332.9 Å³/cell
Crystal system ... monoclinic

The following is a PBE calculation of a relaxed TlHgO2F crystal, from the Alexandria database.

a b c (Å): 4.257 4.257 4.755
angles (deg): 90.00 90.00 90.00
Sites, in units of the cell vectors:
Tl: 0.500 0.500 0.500
Hg: 0.000 0.000 0.000
O: 0.000 0.500 0.000
O: 0.500 0.000 0.000
F: 0.000 0.000 0.500

Summary:
E_form (uncorrected) ... -0.341 eV per atom
Space-group type ... P4/mmm
Calculated volume ... 86.2 Å³/cell
Crystal system ... tetragonal